Record 1
Entry from Alexandria via LeMat-Bulk: a relaxed structure of Be3Cu5 (PBEsol).

## Properties
Polymorph energy (0 for the lowest one) (eV per formula unit): 0.00
SG: P4/mmm, No. 123

abc: 2.6792 2.6792 10.9475
angles: 90.00 90.00 90.00
Last column: nearest neighbours and their distance in Å.
Fractional coordinates of all 8 atoms:
Be: 0.0000 0.0000 0.0000  8 Cu 2.29
Be: 0.5000 0.5000 0.3808  8 Cu 2.29-2.30
Be: 0.5000 0.5000 0.6192  8 Cu 2.29-2.30
Cu: 0.0000 0.0000 0.2641  4 Be 2.29, 4 Cu 2.49
Cu: 0.0000 0.0000 0.5000  8 Be 2.30
Cu: 0.0000 0.0000 0.7359  4 Be 2.29, 4 Cu 2.49
Cu: 0.5000 0.5000 0.1168  4 Be 2.29, 5 Cu 2.49-2.56
Cu: 0.5000 0.5000 0.8832  4 Be 2.29, 5 Cu 2.49-2.56

Record 2
Entry from Alexandria via LeMat-Bulk: a relaxed structure of BeCu (PBEsol).

## Properties
SG: Pbcm, No. 57
Final energy (eV/atom): -4.22

abc: 7.6053 6.5550 4.5947
angles: 90.00 90.00 90.00
Last column: nearest neighbours and their distance in Å.
Fractional coordinates of all 24 atoms:
Be: 0.0802 0.0483 0.2500  7 Cu 2.19-2.34
Be: 0.0802 0.4517 0.7500  7 Cu 2.19-2.34
Be: 0.3647 0.6107 0.2500  7 Cu 2.20-2.34, 2 Be 2.22
Be: 0.3647 0.8893 0.7500  7 Cu 2.20-2.34, 2 Be 2.22
Be: 0.4156 0.2500 0.0000  4 Be 2.22-2.30, 6 Cu 2.25-2.43
Be: 0.4156 0.2500 0.5000  4 Be 2.22-2.30, 6 Cu 2.25-2.43
Be: 0.5844 0.7500 0.0000  4 Be 2.22-2.30, 6 Cu 2.25-2.43
Be: 0.5844 0.7500 0.5000  4 Be 2.22-2.30, 6 Cu 2.25-2.43
Be: 0.6353 0.1107 0.2500  7 Cu 2.20-2.34, 2 Be 2.22
Be: 0.6353 0.3893 0.7500  7 Cu 2.20-2.34, 2 Be 2.22
Be: 0.9198 0.5483 0.2500  7 Cu 2.19-2.34
Be: 0.9198 0.9517 0.7500  7 Cu 2.19-2.34
Cu: 0.1245 0.7500 0.0000  6 Be 2.29-2.34, 2 Cu 2.30
Cu: 0.1245 0.7500 0.5000  6 Be 2.29-2.34, 2 Cu 2.30
Cu: 0.1662 0.1329 0.7500  5 Be 2.19-2.35
Cu: 0.1662 0.3671 0.2500  5 Be 2.19-2.35
Cu: 0.3686 0.5409 0.7500  9 Be 2.25-2.43
Cu: 0.3686 0.9592 0.2500  9 Be 2.25-2.43
Cu: 0.6314 0.0408 0.7500  9 Be 2.25-2.43
Cu: 0.6314 0.4592 0.2500  9 Be 2.25-2.43
Cu: 0.8338 0.6329 0.7500  5 Be 2.19-2.35
Cu: 0.8338 0.8671 0.2500  5 Be 2.19-2.35
Cu: 0.8755 0.2500 0.0000  6 Be 2.29-2.34, 2 Cu 2.30
Cu: 0.8755 0.2500 0.5000  6 Be 2.29-2.34, 2 Cu 2.30

Record 3
Entry from Alexandria via LeMat-Bulk: a relaxed structure of BeCu (PBEsol).

## Properties
SG: P4/nmm, No. 129
Final energy (eV/atom): -4.22

abc: 2.6036 2.6036 5.6039
angles: 90.00 90.00 90.00
Last column: nearest neighbours and their distance in Å.
Fractional coordinates of all 4 atoms:
Be: 0.2500 0.2500 0.1067  4 Be 2.20, 4 Cu 2.27
Be: 0.7500 0.7500 0.8933  4 Be 2.20, 4 Cu 2.27
Cu: 0.2500 0.2500 0.6563  5 Be 2.27-2.52, 4 Cu 2.54
Cu: 0.7500 0.7500 0.3437  5 Be 2.27-2.52, 4 Cu 2.54

Record 4
Entry from Alexandria via LeMat-Bulk: a relaxed structure of BeCu (PBEsol).

## Properties
SG: Cmcm, No. 63
Final energy (eV/atom): -4.13

abc: 2.3662 8.9633 3.7517
angles: 90.00 90.00 90.00
Last column: nearest neighbours and their distance in Å.
Fractional coordinates of all 8 atoms:
Be: 0.0000 0.1726 0.2500  5 Cu 2.23-2.37, 2 Be 2.37
Be: 0.0000 0.8274 0.7500  5 Cu 2.23-2.37, 2 Be 2.37
Be: 0.5000 0.3274 0.7500  5 Cu 2.23-2.37, 2 Be 2.37
Be: 0.5000 0.6726 0.2500  5 Cu 2.23-2.37, 2 Be 2.37
Cu: 0.0000 0.4212 0.2500  5 Be 2.23-2.37, 4 Cu 2.35-2.37
Cu: 0.0000 0.5788 0.7500  5 Be 2.23-2.37, 4 Cu 2.35-2.37
Cu: 0.5000 0.0788 0.7500  5 Be 2.23-2.37, 4 Cu 2.35-2.37
Cu: 0.5000 0.9212 0.2500  5 Be 2.23-2.37, 4 Cu 2.35-2.37

Record 5
Entry from Alexandria via LeMat-Bulk: a relaxed structure of BeCu (PBEsol).

## Properties
SG: I4_1/amd, No. 141
Final energy (eV/atom): -4.23

abc: 3.2444 3.2444 7.2967
angles: 90.00 90.00 90.00
Last column: nearest neighbours and their distance in Å.
Fractional coordinates of all 8 atoms:
Be: 0.0000 0.2500 0.3750  8 Cu 2.29-2.44, 4 Be 2.44
Be: 0.0000 0.7500 0.6250  8 Cu 2.29-2.44, 4 Be 2.44
Be: 0.5000 0.2500 0.1250  8 Cu 2.29-2.44, 4 Be 2.44
Be: 0.5000 0.7500 0.8750  8 Cu 2.29-2.44, 4 Be 2.44
Cu: 0.0000 0.2500 0.8750  8 Be 2.29-2.44, 4 Cu 2.44
Cu: 0.0000 0.7500 0.1250  8 Be 2.29-2.44, 4 Cu 2.44
Cu: 0.5000 0.2500 0.6250  8 Be 2.29-2.44, 4 Cu 2.44
Cu: 0.5000 0.7500 0.3750  8 Be 2.29-2.44, 4 Cu 2.44

Record 6
Entry from Alexandria via LeMat-Bulk: a relaxed structure of BeCu (PBEsol).

## Properties
SG: Pm-3m, No. 221
Final energy (eV/atom): -4.30

abc: 2.6614 2.6614 2.6614
angles: 90.00 90.00 90.00
Last column: nearest neighbours and their distance in Å.
Fractional coordinates of all 2 atoms:
Be: 0.0000 0.0000 0.0000  8 Cu 2.30
Cu: 0.5000 0.5000 0.5000  8 Be 2.30

Record 7
Entry from Alexandria via LeMat-Bulk: a relaxed structure of Be2Cu (PBEsol).

## Properties
Polymorph energy (0 for the lowest one) (eV per formula unit): 1.71
SG: Fm-3m, No. 225

abc: 5.1068 5.1068 5.1068
angles: 90.00 90.00 90.00
Last column: nearest neighbours and their distance in Å.
Fractional coordinates of all 12 atoms:
Be: 0.2500 0.2500 0.2500  4 Cu 2.21
Be: 0.2500 0.2500 0.7500  4 Cu 2.21
Be: 0.2500 0.7500 0.2500  4 Cu 2.21
Be: 0.2500 0.7500 0.7500  4 Cu 2.21
Be: 0.7500 0.2500 0.2500  4 Cu 2.21
Be: 0.7500 0.2500 0.7500  4 Cu 2.21
Be: 0.7500 0.7500 0.2500  4 Cu 2.21
Be: 0.7500 0.7500 0.7500  4 Cu 2.21
Cu: 0.0000 0.0000 0.0000  8 Be 2.21
Cu: 0.0000 0.5000 0.5000  8 Be 2.21
Cu: 0.5000 0.0000 0.5000  8 Be 2.21
Cu: 0.5000 0.5000 0.0000  8 Be 2.21

Record 8
Entry from Alexandria via LeMat-Bulk: a relaxed structure of Be2Cu (PBEsol).

## Properties
Polymorph energy (0 for the lowest one) (eV per formula unit): 0.05
SG: P6_3/mmc, No. 194

abc: 4.2023 4.2023 13.7068
angles: 90.00 90.00 120.00
Last column: nearest neighbours and their distance in Å.
Fractional coordinates of all 24 atoms:
Be: 0.0000 0.5000 0.0000  6 Be 2.08-2.10
Be: 0.0000 0.5000 0.5000  6 Be 2.08-2.10
Be: 0.1663 0.3326 0.2500  6 Be 2.10-2.12
Be: 0.1663 0.8337 0.2500  6 Be 2.10-2.12
Be: 0.3326 0.1663 0.7500  6 Be 2.10-2.12
Be: 0.3333 0.6667 0.1236  6 Be 2.08-2.12
Be: 0.3333 0.6667 0.3764  6 Be 2.08-2.12
Be: 0.5000 0.0000 0.0000  6 Be 2.08-2.10
Be: 0.5000 0.0000 0.5000  6 Be 2.08-2.10
Be: 0.5000 0.5000 0.0000  6 Be 2.08-2.10
Be: 0.5000 0.5000 0.5000  6 Be 2.08-2.10
Be: 0.6667 0.3333 0.6236  6 Be 2.08-2.12
Be: 0.6667 0.3333 0.8764  6 Be 2.08-2.12
Be: 0.6674 0.8337 0.2500  6 Be 2.10-2.12
Be: 0.8337 0.1663 0.7500  6 Be 2.10-2.12
Be: 0.8337 0.6674 0.7500  6 Be 2.10-2.12
Cu: 0.0000 0.0000 0.0959  12 Be 2.43-2.48, 4 Cu 2.56-2.63
Cu: 0.0000 0.0000 0.4041  12 Be 2.43-2.48, 4 Cu 2.56-2.63
Cu: 0.0000 0.0000 0.5959  12 Be 2.43-2.48, 4 Cu 2.56-2.63
Cu: 0.0000 0.0000 0.9041  12 Be 2.43-2.48, 4 Cu 2.56-2.63
Cu: 0.3333 0.6667 0.6562  12 Be 2.46-2.47, 4 Cu 2.56-2.57
Cu: 0.3333 0.6667 0.8438  12 Be 2.46-2.47, 4 Cu 2.56-2.57
Cu: 0.6667 0.3333 0.1562  12 Be 2.46-2.47, 4 Cu 2.56-2.57
Cu: 0.6667 0.3333 0.3438  12 Be 2.46-2.47, 4 Cu 2.56-2.57

Record 9
Entry from Alexandria via LeMat-Bulk: a relaxed structure of Be2Cu (PBEsol).

## Properties
Polymorph energy (0 for the lowest one) (eV per formula unit): 0.21
SG: Cmmm, No. 65

abc: 3.6298 10.9157 2.7115
angles: 90.00 90.00 90.00
Last column: nearest neighbours and their distance in Å.
Fractional coordinates of all 12 atoms:
Be: 0.0000 0.0000 0.0000  8 Be 2.24-2.27
Be: 0.0000 0.1632 0.5000  2 Be 2.24, 6 Cu 2.27-2.33
Be: 0.0000 0.5000 0.5000  4 Cu 2.24, 4 Be 2.27
Be: 0.0000 0.8368 0.5000  2 Be 2.24, 6 Cu 2.27-2.33
Be: 0.5000 0.0000 0.5000  4 Cu 2.24, 4 Be 2.27
Be: 0.5000 0.3368 0.5000  2 Be 2.24, 6 Cu 2.27-2.33
Be: 0.5000 0.5000 0.0000  8 Be 2.24-2.27
Be: 0.5000 0.6632 0.5000  2 Be 2.24, 6 Cu 2.27-2.33
Cu: 0.0000 0.3363 0.0000  8 Be 2.24-2.33
Cu: 0.0000 0.6637 0.0000  8 Be 2.24-2.33
Cu: 0.5000 0.1637 0.0000  8 Be 2.24-2.33
Cu: 0.5000 0.8363 0.0000  8 Be 2.24-2.33

Record 10
Entry from Alexandria via LeMat-Bulk: a relaxed structure of Be3Cu (PBEsol).

## Properties
SG: Pm-3m, No. 221
Final energy (eV/atom): -4.13

abc: 3.2664 3.2664 3.2664
angles: 90.00 90.00 90.00
Last column: nearest neighbours and their distance in Å.
Fractional coordinates of all 4 atoms:
Be: 0.0000 0.0000 0.5000  8 Be 2.31, 4 Cu 2.31
Be: 0.0000 0.5000 0.0000  8 Be 2.31, 4 Cu 2.31
Be: 0.5000 0.0000 0.0000  8 Be 2.31, 4 Cu 2.31
Cu: 0.5000 0.5000 0.5000  12 Be 2.31